{"formula": "GaSiAgSb2", "functional": "PBE", "state": "optimized geometry", "cell": [[5.3519, 0.0000, 0.0000], [0.0000, 5.3519, 0.0000], [0.0000, 0.0000, 4.7620]], "species": ["Ga", "Si", "Ag", "Sb", "Sb"], "fractional_positions": [[0.0000, 0.0000, 0.0000], [0.5000, 0.5000, 0.5000], [0.5000, 0.5000, 0.0000], [0.0000, 0.5000, 0.5000], [0.5000, 0.0000, 0.5000]], "dos_at_fermi_per_ev_cell": 2.8, "total_energy_ev_per_cell": -16.9}



{"formula": "MnHSe", "functional": "PBE", "state": "optimized geometry", "cell": [[2.3155, -2.3153, 0.0000], [2.3155, 2.3153, 0.0000], [-2.2978, 0.0000, 9.5059]], "species": ["Mn", "Mn", "H", "H", "Se", "Se"], "fractional_positions": [[0.2104, 0.2104, 0.4202], [0.7896, 0.7896, 0.5798], [0.0250, 0.0250, 0.0395], [0.9750, 0.9750, 0.9605], [0.3433, 0.3433, 0.6879], [0.6567, 0.6567, 0.3121]], "dos_at_fermi_per_ev_cell": 2.6, "total_energy_ev_per_cell": -33.3}



{"formula": "CaIr2Pt", "functional": "PBE", "state": "optimized geometry", "cell": [[2.8337, 0.0000, 0.0000], [0.0000, 4.7731, 0.0000], [-0.8689, 0.0000, 5.0623]], "species": ["Ca", "Ir", "Ir", "Pt"], "fractional_positions": [[0.0000, 0.0000, 0.0000], [0.3372, 0.5000, 0.7246], [0.6628, 0.5000, 0.2754], [0.5000, 0.0000, 0.5000]], "formation_energy_ev_per_atom": -0.04, "dos_at_fermi_per_ev_cell": 4.4, "de_polymorph_ev_per_atom": 0.091}



{"formula": "ZnInB", "functional": "PBE", "state": "optimized geometry", "cell": [[4.0468, 0.0000, 0.0000], [-0.6017, 5.2580, 0.0000], [-0.7499, -2.6086, 4.8909]], "species": ["Zn", "Zn", "In", "In", "B", "B"], "fractional_positions": [[0.0000, 0.0000, 0.0000], [0.4372, 0.0624, 0.7219], [0.0012, 0.4394, 0.6125], [0.6716, 0.6828, 0.2237], [0.4031, 0.1298, 0.3841], [0.5557, 0.1657, 0.1398]], "formation_energy_ev_per_atom": 0.41, "dos_at_fermi_per_ev_cell": 1.5}